Compound: SrIr3
Source: Alexandria via LeMat-Bulk
Functional: GGA-PBE
Structure: optimized geometry

**Total magnetic moment**: 0.00 Bohr magnetons per cell
**Symmetry**: P-6m2
**Calculated formation energy**: 0.56 eV/atom

Lattice parameters (Å, degrees): 2.8618 2.8618 9.6814 90.00 90.00 120.00
Element x y z (fractional)
1 Ir 0.0000 0.0000 0.0274
2 Ir 0.0000 0.0000 0.4726
3 Ir 0.6667 0.3333 0.2500
4 Sr 0.6667 0.3333 0.7500